KHf2TlGe GGA-PBE optimized geometry; total magnetic moment = 0.00 Bohr magnetons per cell; E_form = 728 meV/atom; V = 153.3 Å³/f.u.
1.0
5.148 0.000 0.000
0.000 5.782 0.000
0.000 0.000 5.148
K Ge Hf Tl
1 1 2 1
direct
0.500 0.500 0.500 K
0.000 0.000 0.000 Ge
0.000 0.000 0.500 Hf
0.500 0.000 0.000 Hf
0.000 0.500 0.000 Tl

***

DyHoSe3 GGA-PBE optimized geometry; total magnetic moment = 0.00 Bohr magnetons per cell; uncorrected formation energy = -1.83 eV per atom; V = 131.8 Å³/f.u.
1.0
-0.008 1.467 -3.757
-5.713 -5.281 -2.049
-5.231 5.820 2.284
Se Dy Ho
6 2 2
direct
0.750 0.320 0.982 Se
0.250 0.379 0.611 Se
0.250 0.892 0.679 Se
0.750 0.621 0.389 Se
0.250 0.680 0.018 Se
0.750 0.108 0.321 Se
0.250 0.384 0.231 Dy
0.750 0.616 0.769 Dy
0.250 0.856 0.319 Ho
0.750 0.144 0.681 Ho

***

Ce2ErTlCo GGA-PBE optimized geometry; total magnetic moment = 0.52 Bohr magnetons per cell; E_form = -244 meV/atom; V = 133.1 Å³/f.u.
1.0
4.942 0.000 0.000
0.000 4.942 0.000
0.000 0.000 5.450
Ce Tl Er Co
2 1 1 1
direct
0.000 0.500 0.000 Ce
0.500 0.000 0.000 Ce
0.500 0.500 0.500 Tl
0.000 0.000 0.500 Er
0.000 0.000 0.000 Co

***

RbMgIn2Br GGA-PBE optimized geometry; total magnetic moment = 0.00 Bohr magnetons per cell; uncorrected formation energy = 0.38 eV per atom; V = 275.9 Å³/f.u.
1.0
6.730 0.000 0.000
0.000 6.091 0.000
0.000 0.000 6.730
In Mg Rb Br
2 1 1 1
direct
0.500 0.000 0.000 In
0.000 0.000 0.500 In
0.500 0.500 0.500 Mg
0.000 0.000 0.000 Rb
0.000 0.500 0.000 Br